No. 1
Here is a relaxed Ta4Mo2W3 crystal from Alexandria via LeMat-Bulk. Energies are from PBE-GGA.

calculated density	15.0	g/cm³
V	325	Å³/cell
DOS at the Fermi energy	15.4	states/eV per cell
space group	C2/c, No. 15
energy of formation	20.0	kJ/mol of atoms

a b c (Å): 7.765 6.980 6.980
angles (deg): 80.21 67.99 67.99
Sites, in units of the cell vectors:
Mo  0.059  0.414  0.166
Mo  0.559  0.166  0.414
Mo  0.941  0.586  0.834
Mo  0.441  0.834  0.586
Ta  0.651  0.538  0.276
Ta  0.349  0.462  0.724
Ta  0.151  0.276  0.538
Ta  0.141  0.790  0.030
Ta  0.859  0.210  0.970
Ta  0.359  0.970  0.210
Ta  0.849  0.724  0.462
Ta  0.641  0.030  0.790
W  0.445  0.334  0.084
W  0.945  0.084  0.334
W  0.250  0.627  0.373
W  0.750  0.373  0.627
W  0.555  0.666  0.916
W  0.055  0.916  0.666

***

No. 2
Here is a relaxed TaMo2W crystal from Alexandria via LeMat-Bulk. Energies are from PBE-GGA.

calculated density	14.1	g/cm³
V	66	Å³/cell
DOS at the Fermi energy	1.3	states/eV per cell
space group	P2/m, No. 10
energy of formation	-10.2	kJ/mol of atoms

a b c (Å): 4.509 2.788 5.303
angles (deg): 80.04 90.00 90.00
Sites, in units of the cell vectors:
Ta  0.500  0.250  0.250
W  0.500  0.750  0.750
Mo  0.000  0.996  0.998
Mo  0.000  0.504  0.502

***

Which of these has the lowest calculated density? TaMo2W